# 1
Compound: NaNb4P6O24
Source: Alexandria
Functional: PBEsol
Structure: optimized geometry

The structure belongs to space group R-3 (No. 148, hexagonal axes); the cell edges are 8.8006, 8.8006 and 22.2919 Å and the angles 90.00°, 90.00° and 120.00°. Symmetry generates all atoms from Na at (0.0000, 0.0000, 0.0000), Nb at (0.0000, 0.0000, 0.1446), Nb at (0.0000, 0.0000, 0.3588), P at (0.0037, 0.2885, 0.7490), O at (0.0123, 0.8162, 0.1939), O at (0.0220, 0.8304, 0.9138), O at (0.0297, 0.2001, 0.6935) and O at (0.0330, 0.2026, 0.4095).

Its density of states at the Fermi level is 0.38 states/eV per atom. The volume comes out at 14.24 Å³ per atom. For the mass density, the calculation gives 3.2 Mg/m³. The formation energy (no corrections) is -2.342 eV per atom.


# 2
Compound: NaNb2PO8
Source: Alexandria
Functional: PBEsol
Structure: optimized geometry

The structure belongs to space group P2_12_12_1 (No. 19); the cell edges are 5.429, 6.743 and 18.043 Å and the angles 90.00°, 90.00° and 90.00°. Symmetry generates all atoms from Na at (0.212, 0.029, 0.214), Nb at (0.247, 0.264, 0.873), Nb at (0.249, 0.909, 0.039), P at (0.231, 0.450, 0.686), O at (0.028, 0.546, 0.409), O at (0.030, 0.042, 0.816), O at (0.037, 0.904, 0.607), O at (0.059, 0.715, 0.990), O at (0.068, 0.398, 0.169), O at (0.223, 0.622, 0.267), O at (0.246, 0.266, 0.636) and O at (0.250, 0.094, 0.959).

Its density of states at the Fermi level is 0.00 states/eV per atom. The volume comes out at 13.76 Å³ per atom. For the mass density, the calculation gives 3.7 Mg/m³. The formation energy (no corrections) is -2.436 eV per atom.